Entry 1:
VASP calculation (PBE-GGA) on crystalline CuWS2Cl at its relaxed geometry.

Output
final energy = -5.120 eV/atom
volume = 21.125 A^3/atom
crystal system = tetragonal
formation energy (no corrections) = 0.310 eV/atom
relative energy among the computed polymorphs = 0.0 kJ/mol of atoms

Cell: 4.6597 4.6597 4.8647 Å, 90.00 90.00 90.00°
With the nearest neighbours (Å) after each atom.
Sites, in units of the cell vectors:
Cu: 0.0000 0.0000 0.0000  4 Cl 3.29, 8 S 3.37
W: 0.5000 0.5000 0.5000  4 S 2.33, 2 Cl 2.43
S: 0.0000 0.5000 0.5000  2 W 2.33
S: 0.5000 0.0000 0.5000  2 W 2.33
Cl: 0.5000 0.5000 0.0000  2 W 2.43

=====

Entry 2:
VASP calculation (PBE-GGA) on crystalline CrCuGe2S at its relaxed geometry.

Output
final energy = -4.301 eV/atom
volume = 19.382 A^3/atom
crystal system = tetragonal
formation energy (no corrections) = 1.116 eV/atom

Cell: 4.6725 4.6725 4.4390 Å, 90.00 90.00 90.00°
With the nearest neighbours (Å) after each atom.
Sites, in units of the cell vectors:
Cr: 0.0000 0.0000 0.0000  8 Ge 3.22, 4 S 3.30
Cu: 0.5000 0.5000 0.5000  2 S 2.22, 4 Ge 2.34
Ge: 0.0000 0.5000 0.5000  2 Cu 2.34
Ge: 0.5000 0.0000 0.5000  2 Cu 2.34
S: 0.5000 0.5000 0.0000  2 Cu 2.22

=====

Entry 3:
VASP calculation (PBE-GGA) on crystalline PmGa3Pd3 at its relaxed geometry.

Output
final energy = -4.536 eV/atom
volume = 22.422 A^3/atom
crystal system = cubic
relative energy among the computed polymorphs = 36.5 kJ/mol of atoms
formation energy from the elements = -2.34 eV/f.u.

Cell: 6.7962 6.7962 6.7962 Å, 90.00 90.00 90.00°
With the nearest neighbours (Å) after each atom.
Sites, in units of the cell vectors:
Pm: 0.0000 0.0000 0.0000  12 Pd 3.80, 12 Ga 3.80
Pm: 0.5000 0.5000 0.5000  12 Pd 3.80, 12 Ga 3.80
Ga: 0.0000 0.2500 0.5000  4 Pd 2.40
Ga: 0.0000 0.7500 0.5000  4 Pd 2.40
Ga: 0.2500 0.5000 0.0000  4 Pd 2.40
Ga: 0.5000 0.0000 0.2500  4 Pd 2.40
Ga: 0.5000 0.0000 0.7500  4 Pd 2.40
Ga: 0.7500 0.5000 0.0000  4 Pd 2.40
Pd: 0.0000 0.5000 0.2500  4 Ga 2.40
Pd: 0.0000 0.5000 0.7500  4 Ga 2.40
Pd: 0.2500 0.0000 0.5000  4 Ga 2.40
Pd: 0.5000 0.2500 0.0000  4 Ga 2.40
Pd: 0.5000 0.7500 0.0000  4 Ga 2.40
Pd: 0.7500 0.0000 0.5000  4 Ga 2.40

=====

Entry 4:
VASP calculation (PBE-GGA) on crystalline TaPCl at its relaxed geometry.

Output
final energy = -6.688 eV/atom
volume = 20.655 A^3/atom
crystal system = tetragonal
formation energy (no corrections) = -0.319 eV/atom
relative energy among the computed polymorphs = 17.6 kJ/mol of atoms

Cell: 6.7664 6.7664 6.7664 Å, 153.41 153.41 37.96°
With the nearest neighbours (Å) after each atom.
Sites, in units of the cell vectors:
Ta: 0.0000 0.0000 0.0000  4 P 2.56, 4 Cl 2.81
P: 0.3979 0.3979 0.0000  4 Ta 2.56
Cl: 0.6369 0.6369 0.0000  4 Ta 2.81, 1 P 3.06, 4 Cl 3.11

=====

Entry 5:
VASP calculation (PBE-GGA) on crystalline K2MnW at its relaxed geometry.

Output
final energy = -4.581 eV/atom
volume = 22.772 A^3/atom
crystal system = monoclinic
relative energy among the computed polymorphs = 59.1 kJ/mol of atoms
formation energy from the elements = 5.99 eV/f.u.

Cell: 6.8281 6.8281 2.8268 Å, 100.99 100.99 129.43°
With the nearest neighbours (Å) after each atom.
Sites, in units of the cell vectors:
K: 0.0000 0.5000 0.0000  6 K 2.83-3.02
K: 0.5000 0.0000 0.0000  6 K 2.83-3.02
Mn: 0.0000 0.0000 0.5000  2 Mn 2.83, 4 W 2.92-3.02
W: 0.5000 0.5000 0.5000  2 W 2.83, 4 Mn 2.92-3.02

=====

Entry 6:
VASP calculation (PBE-GGA) on crystalline FePIr2 at its relaxed geometry.

Output
final energy = -8.055 eV/atom
volume = 13.410 A^3/atom
crystal system = orthorhombic
formation energy from the elements = -0.62 eV/f.u.

Cell: 3.6849 5.3839 5.3839 Å, 30.14 90.00 90.00°
With the nearest neighbours (Å) after each atom.
Sites, in units of the cell vectors:
Fe: 0.0000 0.0000 0.0000  4 P 2.49, 6 Ir 2.67-2.73
P: 0.5000 0.4115 0.4115  3 Ir 2.26-2.33, 4 Fe 2.49
Ir: 0.0000 0.2749 0.2749  2 P 2.33
Ir: 0.5000 0.6288 0.6288  1 P 2.26

=====

Entry 7:
VASP calculation (PBE-GGA) on crystalline Ti2AsAu2 at its relaxed geometry.

Output
final energy = -5.544 eV/atom
volume = 18.378 A^3/atom
crystal system = tetragonal
relative energy among the computed polymorphs = 20.6 kJ/mol of atoms
formation energy from the elements = -0.72 eV/f.u.

Cell: 7.7578 7.7578 3.0537 Å, 90.00 90.00 90.00°
With the nearest neighbours (Å) after each atom.
Sites, in units of the cell vectors:
Ti: 0.1659 0.3341 0.0000  6 Au 2.71-2.77
Ti: 0.3341 0.8341 0.0000  6 Au 2.71-2.77
Ti: 0.6659 0.1659 0.0000  6 Au 2.71-2.77
Ti: 0.8341 0.6659 0.0000  6 Au 2.71-2.77
As: 0.0000 0.0000 0.5000  4 Au 3.04, 2 As 3.05, 8 Ti 3.27
As: 0.5000 0.5000 0.5000  4 Au 3.04, 2 As 3.05, 8 Ti 3.27
Au: 0.1301 0.6301 0.5000  6 Ti 2.71-2.77, 1 Au 2.85
Au: 0.3699 0.1301 0.5000  6 Ti 2.71-2.77, 1 Au 2.85
Au: 0.6301 0.8699 0.5000  6 Ti 2.71-2.77, 1 Au 2.85
Au: 0.8699 0.3699 0.5000  6 Ti 2.71-2.77, 1 Au 2.85

=====

Entry 8:
VASP calculation (PBE-GGA) on crystalline CaAl4Pd2Rh at its relaxed geometry.

Output
final energy = -5.074 eV/atom
volume = 17.943 A^3/atom
crystal system = trigonal
formation energy from the elements = -5.88 eV/f.u.

Cell: 9.4559 9.4559 9.4559 Å, 26.04 26.04 26.04°
With the nearest neighbours (Å) after each atom.
Sites, in units of the cell vectors:
Ca: 0.0000 0.0000 0.0000  6 Al 3.18
Al: 0.1356 0.1356 0.1356  3 Rh 2.60, 4 Pd 2.64-2.67
Al: 0.4071 0.4071 0.4071  1 Rh 2.54, 3 Pd 2.56
Al: 0.5929 0.5929 0.5929  1 Rh 2.54, 3 Pd 2.56
Al: 0.8644 0.8644 0.8644  3 Rh 2.60, 4 Pd 2.64-2.67
Pd: 0.2331 0.2331 0.2331  7 Al 2.56-2.67
Pd: 0.7669 0.7669 0.7669  7 Al 2.56-2.67
Rh: 0.5000 0.5000 0.5000  8 Al 2.54-2.60

=====

Entry 9:
VASP calculation (PBE-GGA) on crystalline La4AlPI2 at its relaxed geometry.

Output
final energy = -5.032 eV/atom
volume = 32.940 A^3/atom
crystal system = monoclinic
formation energy (no corrections) = -1.037 eV/atom

Cell: 7.7376 4.2860 8.3130 Å, 90.00 107.09 90.00°
With the nearest neighbours (Å) after each atom.
Sites, in units of the cell vectors:
La: 0.2214 0.0000 0.1987  2 P 2.93, 1 Al 3.08
La: 0.2477 0.5000 0.7890  1 P 2.95, 2 Al 3.08
La: 0.7523 0.5000 0.2110  1 P 2.95, 2 Al 3.08
La: 0.7786 0.0000 0.8013  2 P 2.93, 1 Al 3.08
Al: 0.5000 0.0000 0.0000  6 La 3.08
P: 0.0000 0.5000 0.0000  6 La 2.93-2.95
I: 0.0000 0.0000 0.5000  6 La 3.37-3.43
I: 0.5000 0.5000 0.5000  6 La 3.51

=====

Entry 10:
VASP calculation (PBE-GGA) on crystalline CaCe2Pr3As6 at its relaxed geometry.

Output
final energy = -6.088 eV/atom
volume = 27.508 A^3/atom
crystal system = monoclinic
formation energy from the elements = -16.96 eV/f.u.

Cell: 9.5286 9.5286 8.5480 Å, 103.05 103.05 25.93°
With the nearest neighbours (Å) after each atom.
Sites, in units of the cell vectors:
Ca: 0.0000 0.0000 0.0000  6 As 3.03
Ce: 0.3350 0.3350 0.6698  6 As 2.92-3.00
Ce: 0.6650 0.6650 0.3302  6 As 2.92-3.00
Pr: 0.0000 0.0000 0.5000  6 As 3.02-3.06
Pr: 0.3356 0.3356 0.1650  6 As 3.03-3.08
Pr: 0.6644 0.6644 0.8350  6 As 3.03-3.08
As: 0.1677 0.1677 0.0914  2 Ce 2.96, 1 Ca 3.03, 3 Pr 3.03-3.05
As: 0.1694 0.1694 0.5782  3 Ce 2.99-3.00, 3 Pr 3.06-3.08
As: 0.4964 0.4964 0.7472  1 Ce 2.92, 3 Pr 3.02-3.03, 2 Ca 3.03
As: 0.5036 0.5036 0.2528  1 Ce 2.92, 3 Pr 3.02-3.03, 2 Ca 3.03
As: 0.8306 0.8306 0.4218  3 Ce 2.99-3.00, 3 Pr 3.06-3.08
As: 0.8323 0.8323 0.9086  2 Ce 2.96, 1 Ca 3.03, 3 Pr 3.03-3.05

=====

Entry 11:
VASP calculation (PBE-GGA) on crystalline Er2Cu3SiNi12 at its relaxed geometry.

Output
final energy = -5.237 eV/atom
volume = 14.127 A^3/atom
crystal system = trigonal
formation energy (no corrections) = 0.108 eV/atom

Cell: 9.0536 9.0536 9.0536 Å, 38.15 38.15 38.15°
With the nearest neighbours (Å) after each atom.
Sites, in units of the cell vectors:
Er: 0.1500 0.1500 0.1500  6 Ni 2.81-2.85
Er: 0.8500 0.8500 0.8500  6 Ni 2.81-2.85
Cu: 0.0000 0.5000 0.5000  6 Ni 2.32-2.53
Cu: 0.5000 0.0000 0.5000  6 Ni 2.32-2.53
Cu: 0.5000 0.5000 0.0000  6 Ni 2.32-2.53
Si: 0.5000 0.5000 0.5000  6 Ni 2.24
Ni: 0.0782 0.0782 0.6882  4 Ni 2.31-2.35, 2 Cu 2.32
Ni: 0.0782 0.6882 0.0782  4 Ni 2.31-2.35, 2 Cu 2.32
Ni: 0.1436 0.5782 0.5782  1 Si 2.24, 2 Ni 2.35
Ni: 0.3118 0.9218 0.9218  4 Ni 2.31-2.35, 2 Cu 2.32
Ni: 0.4218 0.4218 0.8564  1 Si 2.24, 2 Ni 2.35
Ni: 0.4218 0.8564 0.4218  1 Si 2.24, 2 Ni 2.35
Ni: 0.5782 0.1436 0.5782  1 Si 2.24, 2 Ni 2.35
Ni: 0.5782 0.5782 0.1436  1 Si 2.24, 2 Ni 2.35
Ni: 0.6882 0.0782 0.0782  4 Ni 2.31-2.35, 2 Cu 2.32
Ni: 0.8564 0.4218 0.4218  1 Si 2.24, 2 Ni 2.35
Ni: 0.9218 0.3118 0.9218  4 Ni 2.31-2.35, 2 Cu 2.32
Ni: 0.9218 0.9218 0.3118  4 Ni 2.31-2.35, 2 Cu 2.32

=====

Entry 12:
VASP calculation (PBE-GGA) on crystalline Pr2TlAs3Pd4 at its relaxed geometry.

Output
final energy = -5.434 eV/atom
volume = 20.590 A^3/atom
crystal system = tetragonal
formation energy from the elements = -7.69 eV/f.u.

Cell: 4.2842 4.2842 11.2185 Å, 90.00 90.00 90.00°
With the nearest neighbours (Å) after each atom.
Sites, in units of the cell vectors:
Pr: 0.0000 0.5000 0.2272  4 As 3.22, 8 Pd 3.31-3.33
Pr: 0.5000 0.0000 0.7728  4 As 3.22, 8 Pd 3.31-3.33
Tl: 0.0000 0.0000 0.5000  4 Pd 2.75, 4 As 3.03
As: 0.0000 0.5000 0.8704  5 Pd 2.43-2.59
As: 0.5000 0.0000 0.1296  5 Pd 2.43-2.59
As: 0.5000 0.5000 0.5000  4 Pd 2.75, 4 Tl 3.03
Pd: 0.0000 0.0000 0.0000  4 As 2.59
Pd: 0.0000 0.5000 0.6535  1 As 2.43
Pd: 0.5000 0.0000 0.3465  1 As 2.43
Pd: 0.5000 0.5000 0.0000  4 As 2.59

=====

Q: Which of these has the highest volume?
A: La4AlPI2

=====

Q: Among the records above, which one has the highest final energy?
A: CrCuGe2S

=====

Q: What is the volume in the fourth record?
A: 20.655 A^3/atom

=====

Q: Among the records above, which one has the lowest volume?
A: FePIr2